{
  "formula": "VCo2CuO6",
  "functional": "PBE+U",
  "state": "optimized geometry",
  "lattice": [[4.920, 0.056, 0.031], [2.508, 4.316, 0.044], [2.504, 1.488, 4.498]],
  "species": ["O", "O", "Co", "O", "Cu", "O", "V", "Co", "O", "O"],
  "fractional_positions": [[0.242, 0.909, 0.233], [0.613, 0.226, 0.253], [0.015, 0.014, 0.961], [0.124, 0.402, 0.751], [0.805, 0.815, 0.571], [0.400, 0.725, 0.745], [0.313, 0.314, 0.059], [0.512, 0.514, 0.461], [0.719, 0.137, 0.756], [0.918, 0.606, 0.225]],
  "crystal_system": "triclinic",
  "final_energy_ev_per_atom": -6.233,
  "magmom_total_mub_per_fu": 0.003,
  "spacegroup": "P1 (1)"
}